{"formula": "Tb3ErTm6", "functional": "PBE", "state": "relaxed", "lattice": [[6.290, 0.000, 0.000], [0.000, 9.895, -5.656], [0.000, -2.226, 11.178]], "species": ["Tb", "Tb", "Tb", "Tb", "Tb", "Tb", "Er", "Er", "Tm", "Tm", "Tm", "Tm", "Tm", "Tm", "Tm", "Tm", "Tm", "Tm", "Tm", "Tm"], "fractional_positions": [[0.489, 0.959, 0.703], [0.989, 0.703, 0.959], [0.093, 0.421, 0.579], [0.593, 0.579, 0.421], [0.989, 0.041, 0.297], [0.489, 0.297, 0.041], [0.016, 0.162, 0.838], [0.516, 0.838, 0.162], [0.066, 0.745, 0.621], [0.566, 0.621, 0.745], [0.330, 0.457, 0.895], [0.830, 0.895, 0.457], [0.319, 0.986, 0.014], [0.789, 0.302, 0.698], [0.289, 0.698, 0.302], [0.819, 0.014, 0.986], [0.330, 0.105, 0.543], [0.830, 0.543, 0.105], [0.066, 0.379, 0.255], [0.566, 0.255, 0.379]], "formation_energy_mev_per_atom": 123, "total_magnetization_mub_per_cell": 0.00}



{"formula": "ScFe3Hg", "functional": "PBE", "state": "relaxed", "lattice": [[4.816, 0.000, 0.000], [0.000, 4.816, 0.000], [0.000, 0.000, 4.816]], "species": ["Sc", "Hg", "Fe", "Fe", "Fe"], "fractional_positions": [[0.500, 0.500, 0.500], [0.000, 0.000, 0.000], [0.000, 0.500, 0.000], [0.000, 0.000, 0.500], [0.500, 0.000, 0.000]], "formation_energy_mev_per_atom": 1267, "total_magnetization_mub_per_cell": 8.15}



no.,relative energy among the computed polymorphs (kcal/mol of atoms)
1,0.00
2,0.00